Material: SrMg2P
Method: DFT, PBE-GGA
State: optimized geometry

```
data_SrMg2P
_chemical_formula_sum 'Sr2 Mg4 P2'
_space_group_name_H-M_alt 'C 1 2/m 1'
_space_group_IT_number 12
_cell_length_a 12.5237
_cell_length_b 3.4307
_cell_length_c 5.1754
_cell_angle_alpha 90.00
_cell_angle_beta 114.34
_cell_angle_gamma 90.00
loop_
_space_group_symop_operation_xyz
'x,y,z'
'-x,-y,-z'
'-x,y,-z'
'x,-y,z'
'x+1/2,y+1/2,z'
'-x+1/2,-y+1/2,-z'
'-x+1/2,y+1/2,-z'
'x+1/2,-y+1/2,z'
loop_
_atom_site_label
_atom_site_fract_x
_atom_site_fract_y
_atom_site_fract_z
Sr1 0.0000 0.0000 0.0000
Mg1 0.1942 0.0000 0.6947
P1 0.0000 0.5000 0.5000
```


Material: Nd4AgRuAu2
Method: DFT, PBE-GGA
State: optimized geometry

```
data_Nd4AgRuAu2
_chemical_formula_sum 'Nd12 Ag3 Ru3 Au6'
_space_group_name_H-M_alt 'R -3 m'
_space_group_IT_number 166
_space_group_name_Hall '-R 3 2"'
_cell_length_a 5.2224
_cell_length_b 5.2224
_cell_length_c 25.3151
_cell_angle_alpha 90.00
_cell_angle_beta 90.00
_cell_angle_gamma 120.00
loop_
_atom_site_label
_atom_site_fract_x
_atom_site_fract_y
_atom_site_fract_z
Nd1 0.0000 0.0000 0.1172
Nd2 0.0000 0.0000 0.3680
Ag1 0.0000 0.0000 0.5000
Ru1 0.0000 0.0000 0.0000
Au1 0.0000 0.0000 0.2422
```


Material: HoCu4
Method: DFT, PBE-GGA
State: optimized geometry

```
data_HoCu4
_chemical_formula_sum 'Ho8 Cu32'
_space_group_name_H-M_alt 'I -4 3 m'
_space_group_IT_number 217
_space_group_name_Hall 'I -4 2 3'
_cell_length_a 8.5832
_cell_length_b 8.5832
_cell_length_c 8.5832
_cell_angle_alpha 90.00
_cell_angle_beta 90.00
_cell_angle_gamma 90.00
loop_
_atom_site_label
_atom_site_fract_x
_atom_site_fract_y
_atom_site_fract_z
Ho1 0.2146 0.2146 0.2146
Cu1 0.0000 0.0000 0.3553
Cu2 0.0000 0.2500 0.5000
Cu3 0.1023 0.1023 0.8977
```


no.,formation enthalpy at 0 K (eV per formula unit),total energy (eV/atom)
1,-1.34,-2.9049
2,-3.91,-5.2080
3,-0.62,-4.3171